1.
A geometry-optimized TlCr2W2 structure. Source: Alexandria, functional PBE.

The structure in POSCAR format:
```
TlCr2W2
1.0
-1.286 4.428 -5.996
-7.354 0.239 1.753
0.465 2.343 1.630
W Cr Tl
4 4 2
Cartesian
-2.836 0.700 -0.198
-5.804 3.966 -4.046
-6.799 1.806 -0.657
-1.841 2.861 -3.586
-1.289 2.779 -1.061
-4.696 1.966 1.077
-3.479 5.043 -3.690
-6.886 4.231 -1.552
0.000 0.000 0.000
-4.320 2.333 -2.122
```

Results
ΔE to the lowest computed polymorph = 0 meV/atom
SG = P4/mbm, No. 127


2.
A geometry-optimized SrTaF2 structure. Source: Alexandria, functional PBE.

The structure in POSCAR format:
```
SrTaF2
1.0
5.649 0.000 0.000
0.000 5.649 0.000
2.825 2.825 4.976
F Sr Ta
4 2 2
Cartesian
4.260 1.412 1.244
1.390 4.237 1.244
4.237 4.214 3.732
7.062 7.084 3.732
2.825 2.825 0.000
2.825 5.649 2.488
5.649 2.825 2.488
0.000 0.000 0.000
```

Results
ΔE to the lowest computed polymorph = 426 meV/atom
energy relative to the elements, uncorrected = -1.18 eV per atom
SG = I-42d, No. 122


3.
A geometry-optimized AlTeRh structure. Source: Alexandria, functional PBE.

The structure in POSCAR format:
```
AlTeRh
1.0
3.362 0.000 0.000
-1.681 2.912 0.000
0.000 0.000 5.867
Rh Te Al
1 1 1
Cartesian
1.681 0.971 1.843
0.000 1.941 3.805
0.000 0.000 0.219
```

Results
energy relative to the elements, uncorrected = -0.20 eV per atom
SG = P3m1, No. 156


4.
A geometry-optimized ErTl6 structure. Source: Alexandria, functional PBE.

The structure in POSCAR format:
```
ErTl6
1.0
-6.230 -0.782 -3.684
3.003 -6.539 1.106
-1.355 3.164 6.415
Tl Er
6 1
Cartesian
-3.510 -3.065 -0.607
-4.600 -0.639 0.721
0.017 -3.518 3.116
-1.073 -1.092 4.443
-1.202 -4.505 0.591
-3.381 0.347 3.246
0.000 0.000 0.000
```

Results
DFT total energy = -14.62 eV/cell
SG = Im-3m, No. 229


5.
A geometry-optimized Cs2CaAu2I6 structure. Source: Alexandria, functional PBE.

The structure in POSCAR format:
```
Cs2CaAu2I6
1.0
8.897 0.000 0.000
-4.448 7.740 -0.577
0.000 -5.075 8.167
I Cs Au Ca
6 2 2 1
Cartesian
0.000 2.385 2.339
2.574 -3.515 6.515
1.874 6.180 1.076
-1.874 6.180 1.076
4.448 0.280 5.251
6.322 -3.515 6.515
4.448 2.290 2.010
0.000 0.375 5.581
0.000 -3.545 6.407
4.448 6.210 1.183
4.448 -2.537 4.084
```

Results
energy relative to the elements, uncorrected = -0.99 eV per atom
SG = C2/m, No. 12


6.
A geometry-optimized Al3Ga4Ag5 structure. Source: Alexandria, functional PBE.

The structure in POSCAR format:
```
Al3Ga4Ag5
1.0
5.141 0.000 0.000
2.570 5.010 -0.814
2.570 1.556 8.521
Ag Al Ga
5 3 4
Cartesian
2.570 4.192 0.488
5.141 3.283 3.853
5.141 4.378 6.437
5.141 2.188 1.270
7.711 2.374 7.219
2.570 3.283 3.853
5.141 1.668 6.134
5.141 4.898 1.573
5.141 0.659 3.569
2.570 1.418 0.223
5.141 5.908 4.138
7.711 5.148 7.484
```

Results
DFT total energy = -36.21 eV/cell
SG = C2/m, No. 12


7.
A geometry-optimized YTl2Cl5 structure. Source: Alexandria, functional PBE.

The structure in POSCAR format:
```
YTl2Cl5
1.0
8.296 0.000 0.000
0.000 8.642 0.000
0.000 0.000 13.037
Cl Y Tl
20 4 8
Cartesian
1.360 4.718 0.828
1.211 2.160 10.491
2.788 4.718 7.347
2.936 2.160 3.973
5.508 0.397 5.690
0.775 6.481 10.665
3.373 6.481 4.146
0.806 2.160 6.651
7.490 6.481 6.386
1.360 8.245 0.828
6.936 3.924 12.208
3.342 2.160 0.132
7.521 2.160 2.372
4.923 2.160 8.890
7.084 6.481 2.546
5.359 6.481 9.064
4.954 6.481 12.904
5.508 3.924 5.690
6.936 0.397 12.208
2.788 8.245 7.347
0.594 2.160 0.065
7.702 6.481 12.971
3.554 2.160 6.584
4.742 6.481 6.453
4.728 4.253 2.210
3.567 8.574 10.827
4.728 0.068 2.210
7.715 0.068 8.728
0.581 4.389 4.308
3.567 4.389 10.827
0.581 8.574 4.308
7.715 4.253 8.728
```

Results
ΔE to the lowest computed polymorph = 0 meV/atom
energy relative to the elements, uncorrected = -1.68 eV per atom
SG = Pnma, No. 62


8.
A geometry-optimized KTa3Tl structure. Source: Alexandria, functional PBE.

The structure in POSCAR format:
```
KTa3Tl
1.0
-1.293 -4.984 -1.146
2.475 -1.645 4.359
-4.475 0.531 2.741
Ta Tl K
3 1 1
Cartesian
-2.238 0.265 1.371
1.237 -0.822 2.179
-0.647 -2.492 -0.573
0.000 0.000 0.000
-1.647 -3.049 2.977
```

Results
ΔE to the lowest computed polymorph = 0 meV/atom
SG = Pm-3m, No. 221


9.
A geometry-optimized TbHo4Tm7 structure. Source: Alexandria, functional PBE.

The structure in POSCAR format:
```
TbHo4Tm7
1.0
-0.514 -4.061 -5.324
2.680 -8.005 -1.376
-6.474 -3.943 4.622
Tm Ho Tb
7 4 1
Cartesian
-1.954 -10.112 0.147
-2.355 -5.896 -2.225
-0.491 -6.961 0.589
-0.257 -2.030 -2.662
0.841 -5.152 -1.855
-3.818 -9.048 -2.667
-5.150 -10.856 -0.223
-3.873 -7.497 0.431
-1.691 -3.438 0.044
-0.436 -8.512 -2.509
-2.617 -12.571 -2.122
0.000 0.000 0.000
```

Results
ΔE to the lowest computed polymorph = 0 meV/atom
SG = P-1, No. 2


10.
A geometry-optimized PrY2Ho structure. Source: Alexandria, functional PBE.

The structure in POSCAR format:
```
PrY2Ho
1.0
-3.074 1.759 -2.223
-2.657 -2.932 1.353
-1.801 4.381 5.957
Pr Y Ho
1 2 1
Cartesian
-3.766 1.604 2.544
-1.366 3.322 4.517
-0.435 1.059 1.440
-2.865 -0.587 -0.435
```

Results
ΔE to the lowest computed polymorph = 95 meV/atom
SG = P4/mmm, No. 123


11.
A geometry-optimized Y2Zn16Co structure. Source: Alexandria, functional PBE.

The structure in POSCAR format:
```
Y2Zn16Co
1.0
-4.385 4.371 -2.698
-0.294 -2.778 -6.149
-5.580 -3.673 0.993
Zn Y Co
16 2 1
Cartesian
-0.993 -0.201 -0.760
-10.048 -0.729 -4.840
-6.343 -2.513 -2.313
-5.766 1.371 -4.096
-5.516 -4.123 -6.211
-4.485 -3.521 -3.760
-3.790 -2.081 -5.762
-7.042 -4.381 -4.149
-5.012 -0.728 -7.769
-8.079 -4.171 -6.502
-6.516 0.029 -2.047
-8.769 -1.364 -2.693
-8.424 0.958 -3.758
-7.503 -0.298 -8.279
-3.891 0.473 -5.593
-6.193 1.335 -6.773
-3.463 -0.702 -2.651
-6.897 -1.399 -5.280
-9.247 -1.875 -7.079
```

Results
DFT total energy = -44.39 eV/cell
SG = R3m, No. 160


12.
A geometry-optimized Tb2Sm3In structure. Source: Alexandria, functional PBE.

The structure in POSCAR format:
```
Tb2Sm3In
1.0
-4.790 0.953 -0.567
-0.648 -4.458 -2.018
-1.076 -0.695 7.917
Sm In Tb
3 1 2
Cartesian
-2.864 -0.504 2.032
-3.649 -3.696 3.300
-2.719 -1.753 -1.293
0.000 0.000 0.000
-0.946 -1.977 4.671
-0.777 -3.176 1.227
```

Results
ΔE to the lowest computed polymorph = 0 meV/atom
SG = Cmmm, No. 65